# PBE CaSm3Au4, optimized geometry
data_CaSm3Au4
_chemical_formula_sum 'Ca2 Sm6 Au8'
_symmetry_space_group_name_H-M 'I m -3 m'
_symmetry_Int_Tables_number 229
_symmetry_space_group_name_Hall '-I 4 2 3'
_cell_length_a 7.325
_cell_length_b 7.325
_cell_length_c 7.325
_cell_angle_alpha 90.00
_cell_angle_beta 90.00
_cell_angle_gamma 90.00
loop_
_atom_site_label
_atom_site_fract_x
_atom_site_fract_y
_atom_site_fract_z
Ca1 0.000 0.000 0.000
Sm1 0.000 0.000 0.500
Au1 0.250 0.250 0.250
# * volume: 24.6 A^3/atom
# * energy of formation: -0.7949 eV per atom